The following is a DFT calculation (PBE-GGA) of Tl3SeO4 after structural relaxation.

Output
Uncorrected formation energy   -518 kJ/mol of formula units
Density of states at the Fermi level   2.0 states/eV/cell
Total energy   -0.32881 Ry/atom

Cell lengths 6.1785, 6.1785, 6.1785 Å; angles 95.04, 115.36, 118.93 degrees
Positions (direct):
1 Tl 0.5232 0.7573 0.2805
2 Tl 0.0599 0.0000 0.0599
3 Tl 0.5232 0.2427 0.7660
4 O 0.6060 0.2114 0.3946
5 O 0.1365 0.3349 0.4714
6 O 0.1832 0.7886 0.3946
7 O 0.1365 0.6651 0.8017
8 Se 0.9823 0.5000 0.4823



The following is a DFT calculation (PBE-GGA) of CaHo5Er6 after structural relaxation.

Output
Density of states at the Fermi level   16.7 states/eV/cell
Energy of formation   0.63 eV/f.u.
Total energy   -0.31625 Ry/atom

Cell lengths 5.0061, 7.9185, 10.0015 Å; angles 90.00, 90.01, 71.57 degrees
Positions (direct):
1 Ho 0.3331 0.3338 0.5000
2 Ho 0.6723 0.6554 0.0000
3 Ho 0.0000 0.0000 0.5000
4 Ho 0.3277 0.3446 0.0000
5 Ho 0.6669 0.6662 0.5000
6 Er 0.4999 0.0000 0.7412
7 Er 0.1696 0.6606 0.7461
8 Er 0.5001 0.0000 0.2588
9 Er 0.8302 0.3394 0.7461
10 Er 0.1698 0.6606 0.2539
11 Er 0.8304 0.3394 0.2539
12 Ca 0.0000 0.0000 0.0000



The following is a DFT calculation (PBE-GGA) of MgHF3 after structural relaxation.

Output
Density of states at the Fermi level   0.0 states/eV/cell
Distance to the lowest polymorph of the same formula   837 meV/atom
Total energy   -0.29439 Ry/atom

Cell lengths 3.4129, 3.4129, 3.4129 Å; angles 90.00, 90.00, 90.00 degrees
Positions (direct):
1 H 0.0000 0.0000 0.0000
2 F 0.0000 0.5000 0.0000
3 F 0.5000 0.0000 0.0000
4 F 0.0000 0.0000 0.5000
5 Mg 0.5000 0.5000 0.5000



The following is a DFT calculation (PBE-GGA) of SnBr after structural relaxation.

Output
Uncorrected formation energy   25 kJ/mol of formula units
Density of states at the Fermi level   9.4 states/eV/cell
Total energy   -0.19917 Ry/atom

Cell lengths 7.0706, 7.0706, 7.0706 Å; angles 90.00, 90.00, 90.00 degrees
Positions (direct):
1 Sn 0.5000 0.5000 0.0000
2 Sn 0.0000 0.5000 0.5000
3 Sn 0.0000 0.0000 0.0000
4 Sn 0.5000 0.0000 0.5000
5 Br 0.2500 0.2500 0.2500
6 Br 0.7500 0.2500 0.7500
7 Br 0.7500 0.7500 0.2500
8 Br 0.2500 0.7500 0.7500



The following is a DFT calculation (PBE-GGA) of BeSi2Cl after structural relaxation.

Output
Uncorrected formation energy   207 kJ/mol of formula units
Density of states at the Fermi level   2.2 states/eV/cell
Distance to the lowest polymorph of the same formula   356 meV/atom
Total energy   -0.26228 Ry/atom

Cell lengths 6.8818, 6.8818, 6.8818 Å; angles 151.78, 151.78, 40.33 degrees
Positions (direct):
1 Cl 0.7500 0.2500 0.5000
2 Si 0.0000 0.0000 0.0000
3 Si 0.5000 0.5000 0.0000
4 Be 0.2500 0.7500 0.5000



The following is a DFT calculation (PBE-GGA) of TcNi2Os after structural relaxation.

Output
Density of states at the Fermi level   5.7 states/eV/cell
Energy of formation   0.51 eV/f.u.
Distance to the lowest polymorph of the same formula   103 meV/atom
Total energy   -0.59987 Ry/atom

Cell lengths 5.8182, 4.5737, 2.5949 Å; angles 90.00, 63.50, 120.63 degrees
Positions (direct):
1 Ni 0.0000 0.0000 0.0000
2 Ni 0.5000 0.0000 0.5000
3 Os 0.0000 0.5000 0.5000
4 Tc 0.5000 0.5000 0.0000



The following is a DFT calculation (PBE-GGA) of Y4BeCu after structural relaxation.

Output
Density of states at the Fermi level   5.4 states/eV/cell
Energy of formation   5.30 eV/f.u.
Total energy   -0.34762 Ry/atom

Cell lengths 6.1381, 6.1381, 6.1381 Å; angles 60.00, 60.00, 60.00 degrees
Positions (direct):
1 Be 0.7500 0.7500 0.7500
2 Y 0.3754 0.8738 0.3754
3 Y 0.3754 0.3754 0.3754
4 Y 0.8738 0.3754 0.3754
5 Y 0.3754 0.3754 0.8738
6 Cu 0.0000 0.0000 0.0000



The following is a DFT calculation (PBE-GGA) of PmDyCuBi after structural relaxation.

Output
Density of states at the Fermi level   3.9 states/eV/cell
Energy of formation   -1.37 eV/f.u.
Total energy   -0.34358 Ry/atom

Cell lengths 5.2718, 5.2718, 5.2718 Å; angles 60.00, 60.00, 60.00 degrees
Positions (direct):
1 Pm 0.5000 0.5000 0.5000
2 Dy 0.0000 0.0000 0.0000
3 Bi 0.7500 0.7500 0.7500
4 Cu 0.2500 0.2500 0.2500



The following is a DFT calculation (PBE-GGA) of SiTcTe2N after structural relaxation.

Output
Uncorrected formation energy   237 kJ/mol of formula units
Density of states at the Fermi level   4.5 states/eV/cell
Distance to the lowest polymorph of the same formula   0 meV/atom
Total energy   -0.41069 Ry/atom

Cell lengths 5.4114, 5.4114, 3.6948 Å; angles 90.00, 90.00, 90.00 degrees
Positions (direct):
1 Te 0.0000 0.5000 0.0000
2 Te 0.5000 0.0000 0.0000
3 N 0.0000 0.0000 0.5000
4 Tc 0.0000 0.0000 0.0000
5 Si 0.5000 0.5000 0.5000



The following is a DFT calculation (PBE-GGA) of Pu2Mg2Sb3 after structural relaxation.

Output
Uncorrected formation energy   -340 kJ/mol of formula units
Density of states at the Fermi level   46.8 states/eV/cell
Total energy   -0.50126 Ry/atom

Cell lengths 4.5641, 8.3173, 10.8979 Å; angles 81.85, 77.91, 74.08 degrees
Positions (direct):
1 Mg 0.0493 0.2196 0.6818
2 Mg 0.4022 0.5168 0.6788
3 Mg 0.9507 0.7804 0.3182
4 Mg 0.5978 0.4832 0.3212
5 Pu 0.7369 0.8575 0.6687
6 Pu 0.4192 0.2142 0.9474
7 Pu 0.5808 0.7858 0.0526
8 Pu 0.2631 0.1425 0.3313
9 Sb 0.1093 0.9281 0.8533
10 Sb 0.1693 0.5039 0.1575
11 Sb 0.8307 0.4961 0.8425
12 Sb 0.6261 0.2239 0.5240
13 Sb 0.3739 0.7761 0.4760
14 Sb 0.8907 0.0719 0.1467



The following is a DFT calculation (PBE-GGA) of ErAl2Pd8 after structural relaxation.

Output
Density of states at the Fermi level   3.4 states/eV/cell
Energy of formation   -7.10 eV/f.u.
Total energy   -0.40550 Ry/atom

Cell lengths 4.6365, 6.7703, 6.7703 Å; angles 113.91, 100.90, 100.90 degrees
Positions (direct):
1 Al 0.0000 0.3126 0.6874
2 Al 0.0000 0.6874 0.3126
3 Er 0.5000 0.0000 0.0000
4 Pd 0.6894 0.3995 0.3995
5 Pd 0.3106 0.6005 0.6005
6 Pd 0.5000 0.2392 0.7608
7 Pd 0.8959 0.9194 0.6743
8 Pd 0.8959 0.6743 0.9194
9 Pd 0.1041 0.0806 0.3257
10 Pd 0.1041 0.3257 0.0806
11 Pd 0.5000 0.7608 0.2392



The following is a DFT calculation (PBE-GGA) of SmZnBIr2 after structural relaxation.

Output
Density of states at the Fermi level   5.6 states/eV/cell
Energy of formation   -2.52 eV/f.u.
Total energy   -0.48377 Ry/atom

Cell lengths 4.1198, 5.8782, 7.4315 Å; angles 90.00, 90.00, 110.51 degrees
Positions (direct):
1 Ir 0.8296 0.6592 0.4408
2 Ir 0.1704 0.3408 0.9408
3 Ir 0.8296 0.6592 0.0592
4 Ir 0.1704 0.3408 0.5592
5 B 0.0000 0.0000 0.0000
6 B 0.0000 0.0000 0.5000
7 Zn 0.7288 0.4576 0.7500
8 Zn 0.2712 0.5424 0.2500
9 Sm 0.4495 0.8989 0.7500
10 Sm 0.5505 0.1011 0.2500



The following is a DFT calculation (PBE-GGA) of SrPRu3 after structural relaxation.

Output
Density of states at the Fermi level   6.3 states/eV/cell
Energy of formation   0.31 eV/f.u.
Distance to the lowest polymorph of the same formula   0 meV/atom
Total energy   -0.50871 Ry/atom

Cell lengths 4.5009, 4.5009, 4.5009 Å; angles 90.00, 90.00, 90.00 degrees
Positions (direct):
1 Ru 0.5000 0.0000 0.0000
2 Ru 0.0000 0.0000 0.5000
3 Ru 0.0000 0.5000 0.0000
4 P 0.0000 0.0000 0.0000
5 Sr 0.5000 0.5000 0.5000



The following is a DFT calculation (PBE-GGA) of TaCdAs3 after structural relaxation.

Output
Density of states at the Fermi level   4.1 states/eV/cell
Energy of formation   1.39 eV/f.u.
Distance to the lowest polymorph of the same formula   0 meV/atom
Total energy   -0.37223 Ry/atom

Cell lengths 5.0242, 5.0242, 5.0242 Å; angles 90.00, 90.00, 90.00 degrees
Positions (direct):
1 As 0.0000 0.0000 0.5000
2 As 0.0000 0.5000 0.0000
3 As 0.5000 0.0000 0.0000
4 Ta 0.0000 0.0000 0.0000
5 Cd 0.5000 0.5000 0.5000



The following is a DFT calculation (PBE-GGA) of La2BeAl after structural relaxation.

Output
Density of states at the Fermi level   9.7 states/eV/cell
Energy of formation   1.25 eV/f.u.
Distance to the lowest polymorph of the same formula   424 meV/atom
Total energy   -0.29535 Ry/atom

Cell lengths 8.3413, 8.3413, 6.6087 Å; angles 50.87, 50.87, 90.00 degrees
Positions (direct):
1 La 0.5782 0.1250 0.2500
2 La 0.1718 0.6250 0.2500
3 La 0.3750 0.4218 0.7500
4 La 0.8750 0.8282 0.7500
5 Al 0.7500 0.2500 0.5000
6 Al 0.0000 0.0000 0.0000
7 Be 0.2500 0.7500 0.5000
8 Be 0.5000 0.5000 0.0000



The following is a DFT calculation (PBE-GGA) of Cs2Tl6SbPt after structural relaxation.

Output
Uncorrected formation energy   -94 kJ/mol of formula units
Density of states at the Fermi level   6.4 states/eV/cell
Total energy   -0.19876 Ry/atom

Cell lengths 8.7453, 8.7453, 13.4074 Å; angles 70.97, 70.97, 60.00 degrees
Positions (direct):
1 Cs 0.1486 0.1486 0.5541
2 Cs 0.8514 0.8514 0.4459
3 Cs 0.7153 0.7153 0.8542
4 Cs 0.2847 0.2847 0.1458
5 Pt 0.5000 0.5000 0.5000
6 Pt 0.0000 0.0000 0.0000
7 Tl 0.5836 0.1774 0.6553
8 Tl 0.1855 0.7903 0.8388
9 Tl 0.8145 0.2097 0.1612
10 Tl 0.8145 0.8145 0.1612
11 Tl 0.7903 0.1855 0.8388
12 Tl 0.1774 0.5836 0.6553
13 Tl 0.5836 0.5836 0.6553
14 Tl 0.4164 0.8226 0.3447
15 Tl 0.1855 0.1855 0.8388
16 Tl 0.4164 0.4164 0.3447
17 Tl 0.8226 0.4164 0.3447
18 Tl 0.2097 0.8145 0.1612
19 Sb 0.6184 0.6184 0.1447
20 Sb 0.3816 0.3816 0.8553



The following is a DFT calculation (PBE-GGA) of FeCoMo2 after structural relaxation.

Output
Density of states at the Fermi level   8.6 states/eV/cell
Energy of formation   2.48 eV/f.u.
Distance to the lowest polymorph of the same formula   532 meV/atom
Total energy   -0.63854 Ry/atom

Cell lengths 6.6070, 6.6070, 5.3403 Å; angles 51.79, 51.79, 90.00 degrees
Positions (direct):
1 Co 0.0000 0.0000 0.0000
2 Co 0.7500 0.2500 0.5000
3 Fe 0.5000 0.5000 0.0000
4 Fe 0.2500 0.7500 0.5000
5 Mo 0.6265 0.1250 0.2500
6 Mo 0.3750 0.3735 0.7500
7 Mo 0.1235 0.6250 0.2500
8 Mo 0.8750 0.8765 0.7500



The following is a DFT calculation (PBE-GGA) of La8Si3IrI4 after structural relaxation.

Output
Uncorrected formation energy   -1545 kJ/mol of formula units
Density of states at the Fermi level   14.2 states/eV/cell
Total energy   -0.39857 Ry/atom

Cell lengths 8.8049, 9.3490, 8.8389 Å; angles 118.30, 119.87, 90.00 degrees
Positions (direct):
1 Si 0.5000 0.5000 0.0000
2 Si 0.5000 0.5000 0.5000
3 Si 0.0000 0.5000 0.5000
4 La 0.7438 0.6939 0.9687
5 La 0.7345 0.7037 0.4690
6 La 0.2655 0.2963 0.5310
7 La 0.2306 0.6988 0.4613
8 La 0.2562 0.3061 0.0313
9 La 0.7694 0.3012 0.5387
10 La 0.7751 0.3061 0.0313
11 La 0.2249 0.6939 0.9687
12 I 0.5000 0.0000 0.5000
13 I 0.5000 0.0000 0.0000
14 I 0.0000 0.0000 0.0000
15 I 0.0000 0.0000 0.5000
16 Ir 0.0000 0.5000 0.0000



The following is a DFT calculation (PBE-GGA) of K3ZrSi2O8 after structural relaxation.

Output
Uncorrected formation energy   -3379 kJ/mol of formula units
Density of states at the Fermi level   5.7 states/eV/cell
Total energy   -0.51118 Ry/atom

Cell lengths 5.6752, 5.6752, 7.7016 Å; angles 90.00, 90.00, 120.00 degrees
Positions (direct):
1 K 0.0000 0.0000 0.0000
2 K 0.6667 0.3333 0.2778
3 K 0.3333 0.6667 0.7222
4 Si 0.6667 0.3333 0.7312
5 Si 0.3333 0.6667 0.2688
6 O 0.3507 0.1753 0.6588
7 O 0.3333 0.6667 0.0574
8 O 0.8247 0.1753 0.6588
9 O 0.8247 0.6493 0.6588
10 O 0.1753 0.8247 0.3412
11 O 0.6493 0.8247 0.3412
12 O 0.6667 0.3333 0.9426
13 O 0.1753 0.3507 0.3412
14 Zr 0.0000 0.0000 0.5000



The following is a DFT calculation (PBE-GGA) of Sm12CoSb6 after structural relaxation.

Output
Uncorrected formation energy   -1182 kJ/mol of formula units
Density of states at the Fermi level   15.1 states/eV/cell
Total energy   -0.38961 Ry/atom

Cell lengths 8.6874, 8.6874, 8.6874 Å; angles 99.38, 99.38, 99.38 degrees
Positions (direct):
1 Sm 0.8058 0.5805 0.4464
2 Sm 0.6908 0.9450 0.0114
3 Sm 0.4195 0.5536 0.1942
4 Sm 0.5536 0.1942 0.4195
5 Sm 0.0114 0.6908 0.9450
6 Sm 0.4464 0.8058 0.5805
7 Sm 0.5805 0.4464 0.8058
8 Sm 0.0550 0.9886 0.3092
9 Sm 0.1942 0.4195 0.5536
10 Sm 0.9886 0.3092 0.0550
11 Sm 0.9450 0.0114 0.6908
12 Sm 0.3092 0.0550 0.9886
13 Sb 0.3574 0.6880 0.8783
14 Sb 0.1217 0.6426 0.3120
15 Sb 0.8783 0.3574 0.6880
16 Sb 0.3120 0.1217 0.6426
17 Sb 0.6880 0.8783 0.3574
18 Sb 0.6426 0.3120 0.1217
19 Co 0.0000 0.0000 0.0000



The following is a DFT calculation (PBE-GGA) of Cs2Na2Bi after structural relaxation.

Output
Density of states at the Fermi level   7.8 states/eV/cell
Energy of formation   -0.91 eV/f.u.
Distance to the lowest polymorph of the same formula   83 meV/atom
Total energy   -0.13436 Ry/atom

Cell lengths 8.5430, 8.5430, 6.5636 Å; angles 90.00, 90.00, 90.00 degrees
Positions (direct):
1 Bi 0.0000 0.0000 0.0000
2 Bi 0.5000 0.5000 0.0000
3 Na 0.6527 0.1527 0.0000
4 Na 0.3473 0.8473 0.0000
5 Na 0.1527 0.3473 0.0000
6 Na 0.8473 0.6527 0.0000
7 Cs 0.7979 0.2979 0.5000
8 Cs 0.2021 0.7021 0.5000
9 Cs 0.7021 0.7979 0.5000
10 Cs 0.2979 0.2021 0.5000



The following is a DFT calculation (PBE-GGA) of Pm2Y3Er after structural relaxation.

Output
Density of states at the Fermi level   20.5 states/eV/cell
Energy of formation   0.49 eV/f.u.
Total energy   -0.40384 Ry/atom

Cell lengths 5.5646, 8.9334, 12.5461 Å; angles 42.12, 77.19, 71.85 degrees
Positions (direct):
1 Y 0.2786 0.3522 0.0905
2 Y 0.7484 0.1566 0.3467
3 Y 0.9157 0.0599 0.1087
4 Y 0.2516 0.8434 0.6533
5 Y 0.0843 0.9401 0.8913
6 Y 0.7214 0.6478 0.9095
7 Pm 0.1060 0.4524 0.3356
8 Pm 0.5937 0.2243 0.5883
9 Pm 0.4063 0.7757 0.4117
10 Pm 0.8940 0.5476 0.6644
11 Er 0.4413 0.2713 0.8462
12 Er 0.5587 0.7287 0.1538



The following is a DFT calculation (PBE-GGA) of KGaGe after structural relaxation.

Output
Density of states at the Fermi level   0.4 states/eV/cell
Energy of formation   -0.12 eV/f.u.
Total energy   -0.21718 Ry/atom

Cell lengths 6.6323, 3.8148, 14.5860 Å; angles 90.00, 90.00, 90.00 degrees
Positions (direct):
1 Ge 0.1389 0.7500 0.9946
2 Ge 0.8611 0.2500 0.0054
3 Ge 0.6389 0.7500 0.5054
4 Ge 0.3611 0.2500 0.4946
5 Ga 0.4392 0.7500 0.3550
6 Ga 0.0608 0.2500 0.8550
7 Ga 0.5608 0.2500 0.6450
8 Ga 0.9392 0.7500 0.1450
9 K 0.9319 0.2500 0.3539
10 K 0.0681 0.7500 0.6461
11 K 0.4319 0.2500 0.1461
12 K 0.5681 0.7500 0.8539